[1]
Compound: CoTc2
Source: the Alexandria database
Functional: GGA-PBEsol
Structure: optimized geometry

Computed properties:
Theoretical density: 11.2 g/cm3
Volume: 75.6 Å³ per cell
Formation energy: -0.0034 eV/atom

```
CoTc2
1.0
2.633 0.000 0.000
-1.317 4.780 -0.003
0.000 -1.506 6.006
Co Tc
2 4
Direct
0.030 0.059 0.809
0.970 0.941 0.191
0.636 0.271 0.526
0.316 0.631 0.865
0.684 0.369 0.135
0.364 0.729 0.474
```



[2]
Compound: CoHNO2
Source: the Alexandria database
Functional: GGA-PBEsol
Structure: optimized geometry

Computed properties:
Theoretical density: 4.1 g/cm3
Volume: 42.9 Å³ per cell
VASP energy: -5.1673 eV/atom

```
CoHNO2
1.0
2.691 0.000 0.000
0.000 2.691 0.000
0.000 0.000 5.926
H Co O N
1 1 2 1
Direct
0.000 0.000 0.000
0.500 0.500 0.500
0.000 0.500 0.000
0.500 0.000 0.000
0.000 0.000 0.500
```



[3]
Compound: BeCo2Os
Source: the Alexandria database
Functional: GGA-PBEsol
Structure: optimized geometry

Computed properties:
Theoretical density: 12.4 g/cm3
Volume: 42.5 Å³ per cell
Formation energy: -0.0109 eV/atom

```
BeCo2Os
1.0
2.528 0.000 0.298
0.000 3.503 0.000
-0.569 0.000 4.733
Co Os Be
2 1 1
Direct
0.999 0.000 0.738
0.001 0.000 0.262
0.500 0.500 0.000
0.500 0.500 0.500
```



[4]
Compound: K2RuRh
Source: the Alexandria database
Functional: GGA-PBEsol
Structure: optimized geometry

Computed properties:
Theoretical density: 6.0 g/cm3
Volume: 78.6 Å³ per cell
Formation energy: 1.1693 eV/atom

```
K2RuRh
1.0
-2.814 0.620 -2.503
-0.467 -3.766 -0.408
-1.943 1.580 5.487
K Rh Ru
2 1 1
Direct
0.750 0.250 0.500
0.250 0.750 0.500
0.500 0.500 0.000
0.000 0.000 0.000
```